1.
Compound: LiCe4Tl5
Source: the Alexandria database
Functional: PBE
Structure: optimized geometry

ΔH_f (0 K) = -0.24 eV per atom
E = -39.9 eV/f.u.

Geometry as CIF:
```
data_LiCe4Tl5
_space_group_name_H-M_alt 'P 4/m m m'
_space_group_IT_number 123
_space_group_name_Hall '-P 4 2'
_cell_length_a 3.518
_cell_length_b 3.518
_cell_length_c 21.839
_cell_angle_alpha 90.00
_cell_angle_beta 90.00
_cell_angle_gamma 90.00
loop_
_atom_site_label
_atom_site_type_symbol
_atom_site_fract_x
_atom_site_fract_y
_atom_site_fract_z
Li1 Li 0.000 0.000 0.000
Ce1 Ce 0.000 0.000 0.182
Ce2 Ce 0.000 0.000 0.394
Tl1 Tl 0.500 0.500 0.076
Tl2 Tl 0.500 0.500 0.288
Tl3 Tl 0.500 0.500 0.500
```

***

2.
Compound: Sm12Er2In
Source: the Alexandria database
Functional: PBE
Structure: optimized geometry

ΔH_f (0 K) = 0.10 eV per atom
E = -67.0 eV/f.u.

Geometry as CIF:
```
data_Sm12Er2In
_space_group_name_H-M_alt 'C m m e'
_space_group_IT_number 67
_space_group_name_Hall '-C 2a 2'
_cell_length_a 7.229
_cell_length_b 11.442
_cell_length_c 24.365
_cell_angle_alpha 90.00
_cell_angle_beta 90.00
_cell_angle_gamma 90.00
loop_
_atom_site_label
_atom_site_type_symbol
_atom_site_fract_x
_atom_site_fract_y
_atom_site_fract_z
Sm1 Sm 0.000 0.001 0.072
Sm2 Sm 0.000 0.025 0.561
Sm3 Sm 0.231 0.250 0.411
Sm4 Sm 0.249 0.250 0.878
Sm5 Sm 0.250 0.000 0.195
Sm6 Sm 0.250 0.000 0.323
Er1 Er 0.000 0.250 0.261
Er2 Er 0.000 0.250 0.735
In1 In 0.000 0.250 0.000
```

***

3.
Compound: RbSb2O
Source: the Alexandria database
Functional: PBE
Structure: optimized geometry

ΔE_f (raw) = -0.3768 eV/atom
E = -15.7 eV/f.u.

Geometry as CIF:
```
data_RbSb2O
_space_group_name_H-M_alt 'I 41/a m d'
_space_group_IT_number 141
_cell_length_a 7.218
_cell_length_b 7.218
_cell_length_c 10.321
_cell_angle_alpha 90.00
_cell_angle_beta 90.00
_cell_angle_gamma 90.00
loop_
_space_group_symop_operation_xyz
'x,y,z'
'-x,-y,-z'
'-y+1/4,x+3/4,z+1/4'
'y+1/4,-x+3/4,-z+1/4'
'-x+1/2,-y,z+1/2'
'x+1/2,y,-z+1/2'
'y+1/4,-x+1/4,z+3/4'
'-y+1/4,x+1/4,-z+3/4'
'x,-y,-z'
'-x,y,z'
'-y+1/4,-x+1/4,-z+3/4'
'y+1/4,x+1/4,z+3/4'
'-x+1/2,y,-z+1/2'
'x+1/2,-y,z+1/2'
'y+1/4,x+3/4,-z+1/4'
'-y+1/4,-x+3/4,z+1/4'
'x+1/2,y+1/2,z+1/2'
'-x+1/2,-y+1/2,-z+1/2'
'-y+3/4,x+1/4,z+3/4'
'y+3/4,-x+1/4,-z+3/4'
'-x,-y+1/2,z'
'x,y+1/2,-z'
'y+3/4,-x+3/4,z+1/4'
'-y+3/4,x+3/4,-z+1/4'
'x+1/2,-y+1/2,-z+1/2'
'-x+1/2,y+1/2,z+1/2'
'-y+3/4,-x+3/4,-z+1/4'
'y+3/4,x+3/4,z+1/4'
'-x,y+1/2,-z'
'x,-y+1/2,z'
'y+3/4,x+1/4,-z+3/4'
'-y+3/4,-x+1/4,z+3/4'
loop_
_atom_site_label
_atom_site_type_symbol
_atom_site_fract_x
_atom_site_fract_y
_atom_site_fract_z
Rb1 Rb 0.000 0.250 0.375
Sb1 Sb 0.000 0.000 0.000
O1 O 0.000 0.250 0.875
```

***

4.
Compound: PmDyY2Er2
Source: the Alexandria database
Functional: PBE
Structure: optimized geometry

ΔH_f (0 K) = 0.27 eV per atom
E = -29.8 eV/f.u.

Geometry as CIF:
```
data_PmDyY2Er2
_space_group_name_H-M_alt 'P n n m'
_space_group_IT_number 58
_cell_length_a 6.516
_cell_length_b 17.790
_cell_length_c 3.402
_cell_angle_alpha 90.00
_cell_angle_beta 90.00
_cell_angle_gamma 90.00
loop_
_space_group_symop_operation_xyz
'x,y,z'
'-x,-y,-z'
'-x,-y,z'
'x,y,-z'
'x+1/2,-y+1/2,-z+1/2'
'-x+1/2,y+1/2,z+1/2'
'-x+1/2,y+1/2,-z+1/2'
'x+1/2,-y+1/2,z+1/2'
loop_
_atom_site_label
_atom_site_type_symbol
_atom_site_fract_x
_atom_site_fract_y
_atom_site_fract_z
Pm1 Pm 0.000 0.000 0.000
Dy1 Dy 0.000 0.500 0.000
Y1 Y 0.224 0.187 0.000
Er1 Er 0.222 0.353 0.500
```

***

5.
Compound: ScTa3P
Source: the Alexandria database
Functional: PBE
Structure: optimized geometry

ΔH_f (0 K) = 2.07 eV per atom
E = -36.9 eV/f.u.
polymorph energy (0 for the lowest one) = 9.75 eV/f.u.

Geometry as CIF:
```
data_ScTa3P
_space_group_name_H-M_alt 'P m -3 m'
_space_group_IT_number 221
_space_group_name_Hall '-P 4 2 3'
_cell_length_a 4.734
_cell_length_b 4.734
_cell_length_c 4.734
_cell_angle_alpha 90.00
_cell_angle_beta 90.00
_cell_angle_gamma 90.00
loop_
_atom_site_label
_atom_site_type_symbol
_atom_site_fract_x
_atom_site_fract_y
_atom_site_fract_z
Sc1 Sc 0.000 0.000 0.000
Ta1 Ta 0.000 0.000 0.500
P1 P 0.500 0.500 0.500
```

***

6.
Compound: NpUZnOs
Source: the Alexandria database
Functional: PBE
Structure: optimized geometry

ΔH_f (0 K) = 0.00 eV per atom
E = -36.7 eV/f.u.

Geometry as CIF:
```
data_NpUZnOs
_space_group_name_H-M_alt 'F -4 3 m'
_space_group_IT_number 216
_space_group_name_Hall 'F -4 2 3'
_cell_length_a 6.612
_cell_length_b 6.612
_cell_length_c 6.612
_cell_angle_alpha 90.00
_cell_angle_beta 90.00
_cell_angle_gamma 90.00
loop_
_atom_site_label
_atom_site_type_symbol
_atom_site_fract_x
_atom_site_fract_y
_atom_site_fract_z
Np1 Np 0.000 0.000 0.000
U1 U 0.250 0.250 0.750
Zn1 Zn 0.250 0.250 0.250
Os1 Os 0.000 0.000 0.500
```

***

7.
Compound: CrInCl2
Source: the Alexandria database
Functional: PBE
Structure: optimized geometry

ΔE_f (raw) = -0.2194 eV/atom
E = -16.9 eV/f.u.
polymorph energy (0 for the lowest one) = 1.26 eV/f.u.

Geometry as CIF:
```
data_CrInCl2
_space_group_name_H-M_alt 'P m m m'
_space_group_IT_number 47
_cell_length_a 3.667
_cell_length_b 4.750
_cell_length_c 5.539
_cell_angle_alpha 90.00
_cell_angle_beta 90.00
_cell_angle_gamma 90.00
loop_
_space_group_symop_operation_xyz
'x,y,z'
'-x,-y,-z'
'-x,-y,z'
'x,y,-z'
'x,-y,-z'
'-x,y,z'
'-x,y,-z'
'x,-y,z'
loop_
_atom_site_label
_atom_site_type_symbol
_atom_site_fract_x
_atom_site_fract_y
_atom_site_fract_z
Cr1 Cr 0.000 0.000 0.000
In1 In 0.000 0.500 0.500
Cl1 Cl 0.500 0.000 0.500
Cl2 Cl 0.500 0.500 0.000
```

***

8.
Compound: LaZr2Cr
Source: the Alexandria database
Functional: PBE
Structure: optimized geometry

ΔH_f (0 K) = 0.37 eV per atom
E = -30.2 eV/f.u.
polymorph energy (0 for the lowest one) = 0.69 eV/f.u.

Geometry as CIF:
```
data_LaZr2Cr
_space_group_name_H-M_alt 'R -3 m'
_space_group_IT_number 166
_space_group_name_Hall '-R 3 2"'
_cell_length_a 3.3213
_cell_length_b 3.3213
_cell_length_c 28.7423
_cell_angle_alpha 90.00
_cell_angle_beta 90.00
_cell_angle_gamma 120.00
loop_
_atom_site_label
_atom_site_type_symbol
_atom_site_fract_x
_atom_site_fract_y
_atom_site_fract_z
La1 La 0.0000 0.0000 0.0000
Zr1 Zr 0.0000 0.0000 0.2315
Cr1 Cr 0.0000 0.0000 0.5000
```

***

9.
Compound: Li4TlN
Source: the Alexandria database
Functional: PBE
Structure: optimized geometry

ΔE_f (raw) = -0.2706 eV/atom
E = -20.0 eV/f.u.
polymorph energy (0 for the lowest one) = 0.00 eV/f.u.

Geometry as CIF:
```
data_Li4TlN
_space_group_name_H-M_alt 'P -1'
_space_group_IT_number 2
_cell_length_a 5.432
_cell_length_b 5.472
_cell_length_c 7.606
_cell_angle_alpha 110.96
_cell_angle_beta 110.77
_cell_angle_gamma 90.02
loop_
_space_group_symop_operation_xyz
'x,y,z'
'-x,-y,-z'
loop_
_atom_site_label
_atom_site_type_symbol
_atom_site_fract_x
_atom_site_fract_y
_atom_site_fract_z
Li1 Li 0.143 0.066 0.287
Li2 Li 0.227 0.727 0.956
Li3 Li 0.273 0.271 0.044
Li4 Li 0.357 0.279 0.713
Tl1 Tl 0.249 0.678 0.499
N1 N 0.000 0.000 0.000
N2 N 0.500 0.500 0.000
```

***

10.
Compound: Zr3Cd2
Source: the Alexandria database
Functional: PBE
Structure: optimized geometry

ΔH_f (0 K) = -0.01 eV per atom
E = -27.5 eV/f.u.
polymorph energy (0 for the lowest one) = 0.53 eV/f.u.

Geometry as CIF:
```
data_Zr3Cd2
_space_group_name_H-M_alt 'R -3 m'
_space_group_IT_number 166
_space_group_name_Hall '-R 3 2"'
_cell_length_a 3.1826
_cell_length_b 3.1826
_cell_length_c 39.1565
_cell_angle_alpha 90.00
_cell_angle_beta 90.00
_cell_angle_gamma 120.00
loop_
_atom_site_label
_atom_site_type_symbol
_atom_site_fract_x
_atom_site_fract_y
_atom_site_fract_z
Zr1 Zr 0.0000 0.0000 0.0000
Zr2 Zr 0.0000 0.0000 0.1988
Cd1 Cd 0.0000 0.0000 0.4004
```

***

11.
Compound: NdBe2Ir2
Source: the Alexandria database
Functional: PBE
Structure: optimized geometry

ΔH_f (0 K) = -0.55 eV per atom
E = -32.7 eV/f.u.
polymorph energy (0 for the lowest one) = 0.33 eV/f.u.

Geometry as CIF:
```
data_NdBe2Ir2
_space_group_name_H-M_alt 'C m c m'
_space_group_IT_number 63
_space_group_name_Hall '-C 2c 2'
_cell_length_a 5.682
_cell_length_b 5.799
_cell_length_c 9.484
_cell_angle_alpha 90.00
_cell_angle_beta 90.00
_cell_angle_gamma 90.00
loop_
_atom_site_label
_atom_site_type_symbol
_atom_site_fract_x
_atom_site_fract_y
_atom_site_fract_z
Nd1 Nd 0.000 0.234 0.250
Be1 Be 0.209 0.000 0.000
Ir1 Ir 0.000 0.292 0.610
```

***

12.
Compound: Li4CeGe2
Source: the Alexandria database
Functional: PBE
Structure: optimized geometry

ΔH_f (0 K) = -0.46 eV per atom
E = -26.0 eV/f.u.

Geometry as CIF:
```
data_Li4CeGe2
_space_group_name_H-M_alt 'P 42/m n m'
_space_group_IT_number 136
_space_group_name_Hall '-P 4n 2n'
_cell_length_a 7.637
_cell_length_b 7.637
_cell_length_c 4.386
_cell_angle_alpha 90.00
_cell_angle_beta 90.00
_cell_angle_gamma 90.00
loop_
_atom_site_label
_atom_site_type_symbol
_atom_site_fract_x
_atom_site_fract_y
_atom_site_fract_z
Li1 Li 0.101 0.347 0.000
Ce1 Ce 0.000 0.000 0.500
Ge1 Ge 0.209 0.791 0.000
```